[1]
VASP calculation (PBE) on a relaxed structure of Cs2RbP.

Unit cell a=8.7257 b=10.7505 c=13.1690 alpha=124.06 beta=90.00 gamma=90.00
With the nearest neighbours (Å) after each atom.
Element x y z (fractional)
Cs (0.3313, 0.3497, 0.2314)  2 P 3.47-3.50
P (0.1135, 0.0142, 0.5453)  1 P 2.24
Cs (0.1687, 0.8497, 0.2314)  2 P 3.47-3.50
P (0.8865, 0.9858, 0.4547)  1 P 2.24
Rb (0.4437, 0.8145, 0.5283)  3 P 3.40-3.52
Cs (0.6687, 0.6503, 0.7686)  2 P 3.47-3.50
P (0.6135, 0.4858, 0.4547)  1 P 2.24
Cs (0.7132, 0.6902, 0.1864)  1 P 3.51
Cs (0.2868, 0.3098, 0.8136)  1 P 3.51
Rb (0.9437, 0.6855, 0.4717)  3 P 3.40-3.52
Cs (0.8313, 0.1503, 0.7686)  2 P 3.47-3.50
Cs (0.2132, 0.8098, 0.8136)  1 P 3.51
Cs (0.7868, 0.1902, 0.1864)  1 P 3.51
Rb (0.5563, 0.1855, 0.4717)  3 P 3.40-3.52
Rb (0.0563, 0.3145, 0.5283)  3 P 3.40-3.52
P (0.3865, 0.5142, 0.5453)  1 P 2.24

Summary:
DFT formation energy   -140 meV/atom
Electronic total energy   -2.16 eV per atom
Total magnetic moment   0.5 μB per cell


[2]
VASP calculation (PBE) on a relaxed structure of Cs2RbP2.

Unit cell a=8.6326 b=8.6326 c=5.5657 alpha=90.00 beta=90.00 gamma=90.00
With the nearest neighbours (Å) after each atom.
Element x y z (fractional)
Cs (0.8287, 0.6713, 0.5000)  6 P 3.64-4.05
P (0.9121, 0.4121, 0.0000)  1 P 2.15
P (0.0879, 0.5879, 0.0000)  1 P 2.15
P (0.5879, 0.9121, 0.0000)  1 P 2.15
Rb (0.0000, 0.0000, 0.0000)  4 P 3.64
Cs (0.1713, 0.3287, 0.5000)  6 P 3.64-4.05
P (0.4121, 0.0879, 0.0000)  1 P 2.15
Rb (0.5000, 0.5000, 0.0000)  4 P 3.64
Cs (0.3287, 0.8287, 0.5000)  6 P 3.64-4.05
Cs (0.6713, 0.1713, 0.5000)  6 P 3.64-4.05

Summary:
Energy above the most stable polymorph in this dataset   0.050 eV per atom
DFT formation energy   -226 meV/atom
Electronic total energy   -2.92 eV per atom
Total magnetic moment   2.1 μB per cell


[3]
VASP calculation (PBE) on a relaxed structure of CsRb2P.

Unit cell a=5.8885 b=5.8885 c=7.2730 alpha=66.12 beta=66.12 gamma=60.00
With the nearest neighbours (Å) after each atom.
Element x y z (fractional)
Rb (0.0354, 0.0354, 0.8939)  3 P 3.41, 3 Rb 3.73
P (0.6855, 0.6855, 0.9436)  6 Rb 3.41-3.61, 1 Cs 3.76
Rb (0.2886, 0.2886, 0.1341)  3 P 3.61, 3 Rb 3.73, 1 Cs 3.89
Cs (0.4905, 0.4905, 0.5284)  1 P 3.76, 4 Rb 3.89-4.13

Summary:
DFT formation energy   -79 meV/atom
Electronic total energy   -2.13 eV per atom
Total magnetic moment   0.0 μB per cell


[4]
VASP calculation (PBE) on a relaxed structure of CsRb14P.

Unit cell a=10.5501 b=10.5501 c=12.4311 alpha=90.00 beta=90.00 gamma=99.77
With the nearest neighbours (Å) after each atom.
Element x y z (fractional)
Rb (0.1120, 0.8880, 0.0000)  8 Rb 5.09-5.32
Rb (0.4726, 0.2099, 0.6698)  1 P 3.57
Rb (0.7901, 0.5274, 0.3302)  1 P 3.57
Rb (0.7901, 0.5274, 0.6698)  1 P 3.57
Rb (0.4726, 0.2099, 0.3302)  1 P 3.57
Rb (0.0819, 0.3587, 0.5000)  1 P 3.50
Rb (0.6413, 0.9181, 0.5000)  1 P 3.50
Rb (0.1117, 0.3834, 0.0000)  6 Rb 4.72-5.23
Rb (0.3545, 0.6455, 0.7383)  8 Rb 4.73-5.19, 1 Cs 4.88
Rb (0.8667, 0.1333, 0.2664)  1 P 3.46
Cs (0.1139, 0.8861, 0.5000)  10 Rb 4.88-5.11
Rb (0.6049, 0.3951, 0.0000)  8 Rb 4.66-5.19
Rb (0.8667, 0.1333, 0.7336)  1 P 3.46
P (0.7498, 0.2502, 0.5000)  8 Rb 3.46-3.57
Rb (0.6166, 0.8883, 0.0000)  6 Rb 4.72-5.23
Rb (0.3545, 0.6455, 0.2617)  8 Rb 4.73-5.19, 1 Cs 4.88

Summary:
DFT formation energy   -2 meV/atom
Electronic total energy   -1.24 eV per atom
Total magnetic moment   0.0 μB per cell


[5]
VASP calculation (PBE) on a relaxed structure of Cs2RbP.

Unit cell a=6.1778 b=6.1778 c=6.1778 alpha=60.00 beta=60.00 gamma=60.00
With the nearest neighbours (Å) after each atom.
Element x y z (fractional)
Rb (0.5000, 0.5000, 0.5000)  8 Cs 3.78
Cs (0.2500, 0.2500, 0.2500)  4 Rb 3.78, 4 P 3.78
Cs (0.7500, 0.7500, 0.7500)  4 P 3.78, 4 Rb 3.78
P (0.0000, 0.0000, 0.0000)  8 Cs 3.78

Summary:
DFT formation energy   -41 meV/atom
Electronic total energy   -2.06 eV per atom
Total magnetic moment   0.0 μB per cell


[6]
VASP calculation (PBE) on a relaxed structure of Cs6Rb8P.

Unit cell a=11.6969 b=11.6969 c=11.6969 alpha=72.27 beta=72.27 gamma=72.27
With the nearest neighbours (Å) after each atom.
Element x y z (fractional)
Cs (0.1710, 0.4651, 0.6144)  7 Rb 5.08-5.56, 5 Cs 5.20-5.39
Rb (0.7118, 0.9708, 0.0899)  1 P 3.30
Cs (0.8290, 0.5349, 0.3856)  7 Rb 5.08-5.56, 5 Cs 5.20-5.39
Cs (0.6144, 0.1710, 0.4651)  7 Rb 5.08-5.56, 5 Cs 5.20-5.39
Rb (0.2482, 0.2482, 0.2482)  6 Cs 5.13-5.34, 6 Rb 5.17-5.49
Rb (0.7518, 0.7518, 0.7518)  6 Cs 5.13-5.34, 6 Rb 5.17-5.49
Cs (0.4651, 0.6144, 0.1710)  7 Rb 5.08-5.56, 5 Cs 5.20-5.39
Rb (0.9101, 0.2882, 0.0292)  1 P 3.30
Cs (0.5349, 0.3856, 0.8290)  7 Rb 5.08-5.56, 5 Cs 5.20-5.39
Rb (0.0292, 0.9101, 0.2882)  1 P 3.30
P (0.0000, 0.0000, 0.0000)  6 Rb 3.30
Cs (0.3856, 0.8290, 0.5349)  7 Rb 5.08-5.56, 5 Cs 5.20-5.39
Rb (0.2882, 0.0292, 0.9101)  1 P 3.30
Rb (0.9708, 0.0899, 0.7118)  1 P 3.30
Rb (0.0899, 0.7118, 0.9708)  1 P 3.30

Summary:
DFT formation energy   -28 meV/atom
Electronic total energy   -1.25 eV per atom
Total magnetic moment   0.0 μB per cell


[7]
VASP calculation (PBE) on a relaxed structure of Cs6Rb3P.

Unit cell a=9.9858 b=10.3180 c=11.9192 alpha=72.23 beta=65.24 gamma=61.06
With the nearest neighbours (Å) after each atom.
Element x y z (fractional)
Rb (0.6581, 0.8399, 0.8439)  1 Rb 4.72, 3 Cs 5.05-5.09
Rb (0.0000, 0.0000, 0.0000)  6 Cs 4.89-5.12
Cs (0.2037, 0.3988, 0.7206)  1 P 3.40
Cs (0.3230, 0.6012, 0.2794)  1 P 3.40
Cs (0.2835, 0.8525, 0.5806)  1 P 3.41
Cs (0.7165, 0.1475, 0.4194)  1 P 3.41
P (0.5000, 0.5000, 0.5000)  6 Cs 3.40-3.41
Cs (0.6770, 0.3988, 0.7206)  1 P 3.40
Cs (0.7963, 0.6012, 0.2794)  1 P 3.40
Rb (0.3419, 0.1601, 0.1561)  1 Rb 4.72, 3 Cs 5.05-5.09

Summary:
DFT formation energy   -62 meV/atom
Electronic total energy   -1.41 eV per atom
Total magnetic moment   0.0 μB per cell


[8]
VASP calculation (PBE) on a relaxed structure of Cs3RbP.

Unit cell a=7.1704 b=7.1704 c=7.1704 alpha=90.00 beta=90.00 gamma=90.00
With the nearest neighbours (Å) after each atom.
Element x y z (fractional)
Cs (0.0000, 0.5000, 0.0000)  2 P 3.59
Cs (0.5000, 0.0000, 0.0000)  2 P 3.59
P (0.0000, 0.0000, 0.0000)  6 Cs 3.59
Cs (0.0000, 0.0000, 0.5000)  2 P 3.59
Rb (0.5000, 0.5000, 0.5000)  12 Cs 5.07

Summary:
Energy above the most stable polymorph in this dataset   0.000 eV per atom
DFT formation energy   14 meV/atom
Electronic total energy   -1.77 eV per atom
Total magnetic moment   0.0 μB per cell